# PtRhAu2 PBE optimized geometry
# * N(E_F): 0.93 states/eV/atom
# * crystal system: cubic
# * ΔE to the lowest computed polymorph: 0.1465 eV per atom
data_PtRhAu2
_cell_length_a 6.4240
_cell_length_b 6.4240
_cell_length_c 6.4240
_cell_angle_alpha 90.00
_cell_angle_beta 90.00
_cell_angle_gamma 90.00
_space_group_name_H-M_alt 'F m -3 m'
_space_group_IT_number 225
_space_group_name_Hall '-F 4 2 3'
loop_
_atom_site_label
_atom_site_fract_x
_atom_site_fract_y
_atom_site_fract_z
Pt1 0.0000 0.0000 0.0000
Rh1 0.0000 0.0000 0.5000
Au1 0.2500 0.2500 0.2500


# Sn2PdPt PBE optimized geometry
# * N(E_F): 0.50 states/eV/atom
# * crystal system: trigonal
# * ΔE to the lowest computed polymorph: 0.3756 eV per atom
data_Sn2PdPt
_cell_length_a 3.3164
_cell_length_b 3.3164
_cell_length_c 27.5676
_cell_angle_alpha 90.00
_cell_angle_beta 90.00
_cell_angle_gamma 120.00
_space_group_name_H-M_alt 'R -3 m'
_space_group_IT_number 166
_space_group_name_Hall '-R 3 2"'
loop_
_atom_site_label
_atom_site_fract_x
_atom_site_fract_y
_atom_site_fract_z
Sn1 0.0000 0.0000 0.0940
Pd1 0.0000 0.0000 0.0000
Pt1 0.0000 0.0000 0.5000


Q: The lowest ΔE to the lowest computed polymorph belongs to which entry?
A: PtRhAu2